VASP calculation (PBE) on a geometry-optimized AlTlGeBi2 structure.

V, Å³ per cell: 176.8
Space group: P4/mmm
Magnetization, μB/cell: 0.00
Energy of formation from the pure elements, meV per atom: 947

The structure in POSCAR format:
```
AlTlGeBi2
1.0
-5.385 -1.397 1.951
0.911 -4.904 -0.996
2.154 -0.705 5.442
Bi Al Tl Ge
2 1 1 1
direct
0.000 0.000 0.500 Bi
0.500 0.000 0.000 Bi
0.000 0.500 0.000 Al
0.000 0.000 0.000 Tl
0.500 0.500 0.500 Ge
```